Entry 1:
Density functional theory data (PBEsol) for an optimized crystal structure of CaAsBr2.

## Properties
Formation energy (no corrections): -0.9583 eV per atom
Polymorph energy (0 for the lowest one): 0 meV per atom

```
data_CaAsBr2
_symmetry_space_group_name_H-M 'C 1 2/m 1'
_symmetry_Int_Tables_number 12
_symmetry_space_group_name_Hall '-C 2y'
_cell_length_a 12.854
_cell_length_b 3.549
_cell_length_c 5.140
_cell_angle_alpha 90.00
_cell_angle_beta 95.29
_cell_angle_gamma 90.00
loop_
_atom_site_label
_atom_site_type_symbol
_atom_site_fract_x
_atom_site_fract_y
_atom_site_fract_z
_atom_site_occupancy
Ca1 Ca 0.000 0.000 0.000 1
As1 As 0.000 0.500 0.500 1
Br1 Br 0.163 0.500 0.222 1
```

=====

Entry 2:
Density functional theory data (PBEsol) for an optimized crystal structure of CaAsBr2.

## Properties
Formation energy (no corrections): -0.4309 eV per atom
Polymorph energy (0 for the lowest one): 527 meV per atom

```
data_CaAsBr2
_symmetry_space_group_name_H-M 'F -4 3 m'
_symmetry_Int_Tables_number 216
_symmetry_space_group_name_Hall 'F -4 2 3'
_cell_length_a 7.433
_cell_length_b 7.433
_cell_length_c 7.433
_cell_angle_alpha 90.00
_cell_angle_beta 90.00
_cell_angle_gamma 90.00
loop_
_atom_site_label
_atom_site_type_symbol
_atom_site_fract_x
_atom_site_fract_y
_atom_site_fract_z
_atom_site_occupancy
Ca1 Ca 0.000 0.000 0.000 1
As1 As 0.250 0.250 0.750 1
Br1 Br 0.000 0.000 0.500 1
Br2 Br 0.250 0.250 0.250 1
```

=====

Entry 3:
Density functional theory data (PBEsol) for an optimized crystal structure of Ca3AsBr3.

## Properties
Formation energy (no corrections): -1.7840 eV per atom

```
data_Ca3AsBr3
_symmetry_space_group_name_H-M 'P m -3 m'
_symmetry_Int_Tables_number 221
_symmetry_space_group_name_Hall '-P 4 2 3'
_cell_length_a 5.860
_cell_length_b 5.860
_cell_length_c 5.860
_cell_angle_alpha 90.00
_cell_angle_beta 90.00
_cell_angle_gamma 90.00
loop_
_atom_site_label
_atom_site_type_symbol
_atom_site_fract_x
_atom_site_fract_y
_atom_site_fract_z
_atom_site_occupancy
Ca1 Ca 0.000 0.000 0.500 1
As1 As 0.000 0.000 0.000 1
Br1 Br 0.000 0.500 0.500 1
```

=====

DFT total energy / eV per atom: -3.70; -3.18; -4.23